This record from Alexandria describes KAlInO4 after structural relaxation. The functional is PBE.

Summary:
D(E_F) (states/eV per atom): 0.951
Formation energy from raw total energies (eV/atom): -1.7746

Geometry as CIF:
```
data_KAlInO4
_chemical_formula_sum 'K2 Al2 In2 O8'
_symmetry_space_group_name_H-M 'I -4'
_symmetry_Int_Tables_number 82
_symmetry_space_group_name_Hall 'I -4'
_cell_length_a 5.7226
_cell_length_b 5.7226
_cell_length_c 8.4985
_cell_angle_alpha 90.00
_cell_angle_beta 90.00
_cell_angle_gamma 90.00
loop_
_atom_site_label
_atom_site_type_symbol
_atom_site_fract_x
_atom_site_fract_y
_atom_site_fract_z
K1 K 0.0000 0.0000 0.0000
Al1 Al 0.0000 0.5000 0.7500
In1 In 0.0000 0.0000 0.5000
O1 O 0.1204 0.2805 0.6291
```

This record from Alexandria describes KAlIn2P after structural relaxation. The functional is PBE.

Summary:
Energy of formation from the pure elements (meV per atom): 1474
D(E_F) (states/eV per atom): 0.779

Geometry as CIF:
```
data_KAlIn2P
_chemical_formula_sum 'K1 Al1 In2 P1'
_symmetry_space_group_name_H-M 'P 4/m m m'
_symmetry_Int_Tables_number 123
_symmetry_space_group_name_Hall '-P 4 2'
_cell_length_a 6.3314
_cell_length_b 6.3314
_cell_length_c 6.2556
_cell_angle_alpha 90.00
_cell_angle_beta 90.00
_cell_angle_gamma 90.00
loop_
_atom_site_label
_atom_site_type_symbol
_atom_site_fract_x
_atom_site_fract_y
_atom_site_fract_z
K1 K 0.0000 0.0000 0.0000
Al1 Al 0.0000 0.0000 0.5000
In1 In 0.0000 0.5000 0.0000
P1 P 0.5000 0.5000 0.5000
```

This record from Alexandria describes K2RbAlIn after structural relaxation. The functional is PBE.

Summary:
Relative energy among the computed polymorphs (eV per atom): 0.319
Energy of formation from the pure elements (meV per atom): 493
D(E_F) (states/eV per atom): 0.978

Geometry as CIF:
```
data_K2RbAlIn
_chemical_formula_sum 'K2 Rb1 Al1 In1'
_symmetry_space_group_name_H-M 'P 4/m m m'
_symmetry_Int_Tables_number 123
_symmetry_space_group_name_Hall '-P 4 2'
_cell_length_a 6.6564
_cell_length_b 6.6564
_cell_length_c 6.8370
_cell_angle_alpha 90.00
_cell_angle_beta 90.00
_cell_angle_gamma 90.00
loop_
_atom_site_label
_atom_site_type_symbol
_atom_site_fract_x
_atom_site_fract_y
_atom_site_fract_z
K1 K 0.0000 0.5000 0.0000
Rb1 Rb 0.0000 0.0000 0.5000
Al1 Al 0.0000 0.0000 0.0000
In1 In 0.5000 0.5000 0.5000
```

This record from Alexandria describes K2RbAlIn after structural relaxation. The functional is PBE.

Summary:
Relative energy among the computed polymorphs (eV per atom): 0.000
Energy of formation from the pure elements (meV per atom): 174
D(E_F) (states/eV per atom): 0.708

Geometry as CIF:
```
data_K2RbAlIn
_chemical_formula_sum 'K2 Rb1 Al1 In1'
_symmetry_space_group_name_H-M 'P 4/m m m'
_symmetry_Int_Tables_number 123
_symmetry_space_group_name_Hall '-P 4 2'
_cell_length_a 6.8883
_cell_length_b 6.8883
_cell_length_c 5.2620
_cell_angle_alpha 90.00
_cell_angle_beta 90.00
_cell_angle_gamma 90.00
loop_
_atom_site_label
_atom_site_type_symbol
_atom_site_fract_x
_atom_site_fract_y
_atom_site_fract_z
K1 K 0.0000 0.5000 0.0000
Rb1 Rb 0.0000 0.0000 0.5000
Al1 Al 0.5000 0.5000 0.0000
In1 In 0.5000 0.5000 0.5000
```

This record from Alexandria describes K2AlInS4 after structural relaxation. The functional is PBE.

Summary:
Formation energy from raw total energies (eV/atom): -0.9221

Geometry as CIF:
```
data_K2AlInS4
_chemical_formula_sum 'K8 Al4 In4 S16'
_symmetry_space_group_name_H-M 'I m m a'
_symmetry_Int_Tables_number 74
_symmetry_space_group_name_Hall '-I 2b 2'
_cell_length_a 7.7579
_cell_length_b 8.2112
_cell_length_c 11.2875
_cell_angle_alpha 90.00
_cell_angle_beta 90.00
_cell_angle_gamma 90.00
loop_
_atom_site_label
_atom_site_type_symbol
_atom_site_fract_x
_atom_site_fract_y
_atom_site_fract_z
K1 K 0.0000 0.0000 0.0000
K2 K 0.2500 0.2500 0.2500
Al1 Al 0.2500 0.2500 0.7500
In1 In 0.0000 0.0000 0.5000
S1 S 0.0000 0.0471 0.7386
S2 S 0.2252 0.2500 0.5259
```

This record from Alexandria describes KAl2InSb after structural relaxation. The functional is PBE.

Summary:
D(E_F) (states/eV per atom): 0.765
Formation energy from raw total energies (eV/atom): 1.3242

Geometry as CIF:
```
data_KAl2InSb
_chemical_formula_sum 'K1 Al2 In1 Sb1'
_symmetry_space_group_name_H-M 'P 4/m m m'
_symmetry_Int_Tables_number 123
_symmetry_space_group_name_Hall '-P 4 2'
_cell_length_a 6.2084
_cell_length_b 6.2084
_cell_length_c 6.2109
_cell_angle_alpha 90.00
_cell_angle_beta 90.00
_cell_angle_gamma 90.00
loop_
_atom_site_label
_atom_site_type_symbol
_atom_site_fract_x
_atom_site_fract_y
_atom_site_fract_z
K1 K 0.0000 0.0000 0.0000
Al1 Al 0.0000 0.5000 0.0000
In1 In 0.0000 0.0000 0.5000
Sb1 Sb 0.5000 0.5000 0.5000
```

This record from Alexandria describes KAl2InSe after structural relaxation. The functional is PBE.

Summary:
D(E_F) (states/eV per atom): 0.317
Formation energy from raw total energies (eV/atom): 0.9147

Geometry as CIF:
```
data_KAl2InSe
_chemical_formula_sum 'K1 Al2 In1 Se1'
_symmetry_space_group_name_H-M 'P 4/m m m'
_symmetry_Int_Tables_number 123
_symmetry_space_group_name_Hall '-P 4 2'
_cell_length_a 5.8161
_cell_length_b 5.8161
_cell_length_c 5.6682
_cell_angle_alpha 90.00
_cell_angle_beta 90.00
_cell_angle_gamma 90.00
loop_
_atom_site_label
_atom_site_type_symbol
_atom_site_fract_x
_atom_site_fract_y
_atom_site_fract_z
K1 K 0.0000 0.0000 0.0000
Al1 Al 0.0000 0.5000 0.0000
In1 In 0.5000 0.5000 0.5000
Se1 Se 0.0000 0.0000 0.5000
```

This record from Alexandria describes La5Al4In after structural relaxation. The functional is PBE.

Summary:
Energy of formation from the pure elements (meV per atom): -388
D(E_F) (states/eV per atom): 0.464

Geometry as CIF:
```
data_La5Al4In
_chemical_formula_sum 'La5 Al4 In1'
_symmetry_space_group_name_H-M 'P 4/m m m'
_symmetry_Int_Tables_number 123
_symmetry_space_group_name_Hall '-P 4 2'
_cell_length_a 3.8188
_cell_length_b 3.8188
_cell_length_c 19.2899
_cell_angle_alpha 90.00
_cell_angle_beta 90.00
_cell_angle_gamma 90.00
loop_
_atom_site_label
_atom_site_type_symbol
_atom_site_fract_x
_atom_site_fract_y
_atom_site_fract_z
La1 La 0.0000 0.0000 0.0000
La2 La 0.0000 0.0000 0.1954
La3 La 0.0000 0.0000 0.3915
Al1 Al 0.5000 0.5000 0.0980
Al2 Al 0.5000 0.5000 0.2936
In1 In 0.5000 0.5000 0.5000
```

This record from Alexandria describes La6AlIn after structural relaxation. The functional is PBE.

Summary:
Relative energy among the computed polymorphs (eV per atom): 0.116
Energy of formation from the pure elements (meV per atom): -129
D(E_F) (states/eV per atom): 1.280

Geometry as CIF:
```
data_La6AlIn
_chemical_formula_sum 'La6 Al1 In1'
_symmetry_space_group_name_H-M 'P -1'
_symmetry_Int_Tables_number 2
_symmetry_space_group_name_Hall '-P 1'
_cell_length_a 6.1953
_cell_length_b 6.4974
_cell_length_c 6.5281
_cell_angle_alpha 103.90
_cell_angle_beta 90.29
_cell_angle_gamma 90.54
loop_
_atom_site_label
_atom_site_type_symbol
_atom_site_fract_x
_atom_site_fract_y
_atom_site_fract_z
La1 La 0.2316 0.1436 0.1469
La2 La 0.2432 0.0095 0.6121
La3 La 0.2448 0.6119 0.0082
Al1 Al 0.0000 0.5000 0.5000
In1 In 0.5000 0.5000 0.5000
```

This record from Alexandria describes LaAlIn2 after structural relaxation. The functional is PBE.

Summary:
Energy of formation from the pure elements (meV per atom): -55
D(E_F) (states/eV per atom): 0.738

Geometry as CIF:
```
data_LaAlIn2
_chemical_formula_sum 'La3 Al3 In6'
_symmetry_space_group_name_H-M 'R -3 m'
_symmetry_Int_Tables_number 166
_symmetry_space_group_name_Hall '-R 3 2"'
_cell_length_a 3.3717
_cell_length_b 3.3717
_cell_length_c 31.6370
_cell_angle_alpha 90.00
_cell_angle_beta 90.00
_cell_angle_gamma 120.00
loop_
_atom_site_label
_atom_site_type_symbol
_atom_site_fract_x
_atom_site_fract_y
_atom_site_fract_z
La1 La 0.0000 0.0000 0.0000
Al1 Al 0.0000 0.0000 0.5000
In1 In 0.0000 0.0000 0.2414
```

This record from Alexandria describes La5Al2In after structural relaxation. The functional is PBE.

Summary:
Energy of formation from the pure elements (meV per atom): -322
D(E_F) (states/eV per atom): 1.139

Geometry as CIF:
```
data_La5Al2In
_chemical_formula_sum 'La20 Al8 In4'
_symmetry_space_group_name_H-M 'I 4/m c m'
_symmetry_Int_Tables_number 140
_symmetry_space_group_name_Hall '-I 4 2c'
_cell_length_a 8.2893
_cell_length_b 8.2893
_cell_length_c 14.8090
_cell_angle_alpha 90.00
_cell_angle_beta 90.00
_cell_angle_gamma 90.00
loop_
_atom_site_label
_atom_site_type_symbol
_atom_site_fract_x
_atom_site_fract_y
_atom_site_fract_z
La1 La 0.0000 0.0000 0.0000
La2 La 0.1739 0.3261 0.1483
Al1 Al 0.1149 0.3851 0.5000
In1 In 0.0000 0.0000 0.2500
```

This record from Alexandria describes La9Al2In3 after structural relaxation. The functional is PBE.

Summary:
Energy of formation from the pure elements (meV per atom): -225
D(E_F) (states/eV per atom): 1.344

Geometry as CIF:
```
data_La9Al2In3
_chemical_formula_sum 'La18 Al4 In6'
_symmetry_space_group_name_H-M 'I m m m'
_symmetry_Int_Tables_number 71
_symmetry_space_group_name_Hall '-I 2 2'
_cell_length_a 3.6651
_cell_length_b 15.5884
_cell_length_c 15.6596
_cell_angle_alpha 90.00
_cell_angle_beta 90.00
_cell_angle_gamma 90.00
loop_
_atom_site_label
_atom_site_type_symbol
_atom_site_fract_x
_atom_site_fract_y
_atom_site_fract_z
La1 La 0.0000 0.0000 0.0000
La2 La 0.0000 0.1239 0.3741
La3 La 0.0000 0.1711 0.1642
Al1 Al 0.0000 0.3013 0.5000
In1 In 0.0000 0.5000 0.0000
In2 In 0.0000 0.5000 0.2792
```

| no. | size of the total moment (Bohr magnetons per cell) | total DFT energy (no corrections) (eV per atom) |
| --- | --- | --- |
| 1 | 2.0 | -5.690 |
| 2 | 0.0 | -1.671 |
| 3 | 0.6 | -1.436 |
| 4 | 0.0 | -1.755 |
| 5 | 0.0 | -4.070 |
| 6 | 0.0 | -1.764 |
| 7 | 0.0 | -2.046 |
| 8 | 0.0 | -4.623 |
| 9 | 0.0 | -4.635 |
| 10 | 0.0 | -3.592 |
| 11 | 0.0 | -4.680 |
| 12 | 0.0 | -4.514 |